A geometry-optimized Ca2Cu2Ag structure. Source: Alexandria, functional PBEsol.

Results
D(E_F): 4.31 states/eV per cell
Energy of formation from the pure elements: -0.109 eV/atom

abc: 3.9859 7.1901 7.1901
angles: 90.00 90.00 90.00
Sites, in units of the cell vectors:
Ca (0.5000, 0.1794, 0.6794)
Ca (0.5000, 0.6794, 0.8206)
Ca (0.5000, 0.8206, 0.3206)
Ca (0.5000, 0.3206, 0.1794)
Cu (0.0000, 0.3812, 0.8812)
Cu (0.0000, 0.8812, 0.6188)
Cu (0.0000, 0.6188, 0.1188)
Cu (0.0000, 0.1188, 0.3812)
Ag (0.0000, 0.0000, 0.0000)
Ag (0.0000, 0.5000, 0.5000)



A geometry-optimized CaCuAg2Te structure. Source: Alexandria, functional PBEsol.

Results
ΔE_f (raw): 40 meV/atom
D(E_F): 1.84 states/eV per cell

abc: 4.7394 4.7394 5.2548
angles: 90.00 90.00 90.00
Sites, in units of the cell vectors:
Ca (0.0000, 0.0000, 0.5000)
Te (0.5000, 0.5000, 0.5000)
Cu (0.0000, 0.0000, 0.0000)
Ag (0.0000, 0.5000, 0.0000)
Ag (0.5000, 0.0000, 0.0000)



A geometry-optimized Ca3AgF structure. Source: Alexandria, functional PBEsol.

Results
ΔE_f (raw): -1106 meV/atom
D(E_F): 3.29 states/eV per cell

abc: 4.8884 4.8884 4.8884
angles: 90.00 90.00 90.00
Sites, in units of the cell vectors:
Ca (0.0000, 0.5000, 0.0000)
Ca (0.0000, 0.0000, 0.5000)
Ca (0.5000, 0.0000, 0.0000)
Ag (0.5000, 0.5000, 0.5000)
F (0.0000, 0.0000, 0.0000)



A geometry-optimized Ca3Hf3AgF20 structure. Source: Alexandria, functional PBEsol.

Results
ΔE_f (raw): -3604 meV/atom
D(E_F): 2.09 states/eV per cell

abc: 8.3894 10.5424 10.5424
angles: 120.00 90.00 90.00
Sites, in units of the cell vectors:
Ca (0.7500, 0.8359, 0.2689)
Ca (0.2500, 0.1641, 0.7311)
Ca (0.7500, 0.7311, 0.5669)
Ca (0.2500, 0.2689, 0.4331)
Ca (0.7500, 0.4331, 0.1641)
Ca (0.2500, 0.5669, 0.8359)
Hf (0.7500, 0.2774, 0.4160)
Hf (0.2500, 0.7226, 0.5840)
Hf (0.7500, 0.5840, 0.8614)
Hf (0.2500, 0.4160, 0.1386)
Hf (0.7500, 0.1386, 0.7226)
Hf (0.2500, 0.8614, 0.2774)
Ag (0.7500, 0.0000, 0.0000)
Ag (0.2500, 0.0000, 0.0000)
F (0.5147, 0.2813, 0.4264)
F (0.4853, 0.7187, 0.5736)
F (0.5147, 0.5736, 0.8548)
F (0.0147, 0.7187, 0.5736)
F (0.4853, 0.4264, 0.1452)
F (0.9853, 0.2813, 0.4264)
F (0.5147, 0.1452, 0.7187)
F (0.0147, 0.4264, 0.1452)
F (0.4853, 0.8548, 0.2813)
F (0.9853, 0.5736, 0.8548)
F (0.0147, 0.8548, 0.2813)
F (0.9853, 0.1452, 0.7187)
F (0.7500, 0.0577, 0.2833)
F (0.2500, 0.9423, 0.7167)
F (0.7500, 0.7167, 0.7744)
F (0.2500, 0.2833, 0.2256)
F (0.7500, 0.2256, 0.9423)
F (0.2500, 0.7744, 0.0577)
F (0.7500, 0.7995, 0.0321)
F (0.2500, 0.2005, 0.9679)
F (0.7500, 0.9679, 0.7673)
F (0.2500, 0.0321, 0.2327)
F (0.7500, 0.2327, 0.2005)
F (0.2500, 0.7673, 0.7995)
F (0.7500, 0.6667, 0.3333)
F (0.2500, 0.3333, 0.6667)
F (0.7500, 0.4489, 0.6335)
F (0.2500, 0.5511, 0.3665)
F (0.7500, 0.3665, 0.8154)
F (0.2500, 0.6335, 0.1846)
F (0.7500, 0.1846, 0.5511)
F (0.2500, 0.8154, 0.4489)
F (0.7500, 0.5876, 0.0584)
F (0.2500, 0.4124, 0.9416)
F (0.7500, 0.9416, 0.5292)
F (0.2500, 0.0584, 0.4708)
F (0.7500, 0.4708, 0.4124)
F (0.2500, 0.5292, 0.5876)
F (0.5000, 0.0000, 0.0000)
F (0.0000, 0.0000, 0.0000)



A geometry-optimized CaAgSn2F structure. Source: Alexandria, functional PBEsol.

Results
ΔE_f (raw): 651 meV/atom
D(E_F): 6.22 states/eV per cell

abc: 5.2046 5.8553 5.8553
angles: 90.00 90.00 90.00
Each line ends with the local moment (μB).
Sites, in units of the cell vectors:
Ca (0.0000, 0.0000, 0.0000)  0.07
Sn (0.0000, 0.0000, 0.5000)  0.08
Sn (0.0000, 0.5000, 0.0000)  0.08
Ag (0.5000, 0.0000, 0.0000)  0.01
F (0.5000, 0.5000, 0.5000)  0.02



A geometry-optimized Ca2FeAg structure. Source: Alexandria, functional PBEsol.

Results
D(E_F): 6.51 states/eV per cell
Energy of formation from the pure elements: 0.438 eV/atom
Relative energy among the computed polymorphs: 0.178 eV per atom

abc: 4.9413 4.9413 4.9413
angles: 60.00 60.00 60.00
Each line ends with the local moment (μB).
Sites, in units of the cell vectors:
Ca (0.0000, 0.0000, 0.0000)  -0.05
Ca (0.7500, 0.7500, 0.7500)  -0.07
Fe (0.2500, 0.2500, 0.2500)  2.73
Ag (0.5000, 0.5000, 0.5000)  -0.02



A geometry-optimized Ca2FeAg structure. Source: Alexandria, functional PBEsol.

Results
D(E_F): 5.94 states/eV per cell
Energy of formation from the pure elements: 0.260 eV/atom
Relative energy among the computed polymorphs: 0.000 eV per atom

abc: 3.4909 3.4909 7.3436
angles: 90.00 90.00 90.00
Each line ends with the local moment (μB).
Sites, in units of the cell vectors:
Ca (0.0000, 0.0000, 0.7398)  -0.08
Ca (0.0000, 0.0000, 0.2602)  -0.08
Fe (0.5000, 0.5000, 0.5000)  2.61
Ag (0.5000, 0.5000, 0.0000)  0.00



A geometry-optimized CaLaFeAgO6 structure. Source: Alexandria, functional PBEsol.

Results
ΔE_f (raw): -1920 meV/atom
D(E_F): 8.30 states/eV per cell

abc: 5.4728 5.7813 7.5480
angles: 90.00 89.78 90.00
Each line ends with the local moment (μB).
Sites, in units of the cell vectors:
Ca (0.4838, 0.8178, 0.2494)  0.01
Ca (0.9838, 0.1822, 0.7494)  0.01
La (0.0156, 0.3109, 0.2498)  0.03
La (0.5156, 0.6891, 0.7498)  0.03
Fe (0.0005, 0.7520, 0.0006)  2.38
Fe (0.5005, 0.2480, 0.5006)  2.38
Ag (0.0002, 0.7518, 0.4985)  0.10
Ag (0.5002, 0.2482, 0.9985)  0.10
O (0.3957, 0.2844, 0.7362)  0.08
O (0.8957, 0.7156, 0.2362)  0.08
O (0.8320, 0.4762, 0.9447)  0.11
O (0.3320, 0.5238, 0.4447)  0.11
O (0.7789, 0.4208, 0.5467)  0.11
O (0.2789, 0.5792, 0.0467)  0.11
O (0.0943, 0.7897, 0.7630)  0.07
O (0.5943, 0.2103, 0.2630)  0.07
O (0.6747, 0.9795, 0.5532)  0.10
O (0.1747, 0.0205, 0.0532)  0.10
O (0.7243, 0.9256, 0.9576)  0.10
O (0.2243, 0.0744, 0.4576)  0.10